[1]
DFT (PBE) results for crystalline MgAsIrSe2 at its relaxed geometry.

Structure (POSCAR):
```
MgAsIrSe2
1.0
-0.558 0.879 5.105
-4.873 -1.831 -0.218
1.528 -4.172 0.885
Se Ir Mg As
2 1 1 1
direct
0.500 0.000 0.000
0.000 0.500 0.000
0.000 0.000 0.000
0.500 0.500 0.500
0.000 0.000 0.500
```

Calculated values
Energy above the lowest structure with this stoichiometry: 0 meV/atom
SG: P4/mmm (123)
Spin magnetization: 0.00 μB per cell
Energy relative to the elements, uncorrected: 1.2 eV/f.u.

=====

[2]
DFT (PBE) results for crystalline BeCrAsBr2 at its relaxed geometry.

Structure (POSCAR):
```
BeCrAsBr2
1.0
-3.353 2.907 -2.367
-1.513 -3.955 -2.715
-3.355 -1.074 3.434
Br Be As Cr
2 1 1 1
direct
0.500 0.000 0.000
0.000 0.500 0.000
0.500 0.500 0.500
0.000 0.000 0.500
0.000 0.000 0.000
```

Calculated values
Energy above the lowest structure with this stoichiometry: 155 meV/atom
SG: P4/mmm (123)
Spin magnetization: 2.54 μB per cell
Energy relative to the elements, uncorrected: 2.8 eV/f.u.

=====

[3]
DFT (PBE) results for crystalline Tb2Pm2Pb at its relaxed geometry.

Structure (POSCAR):
```
Tb2Pm2Pb
1.0
-0.126 -4.417 -0.306
4.212 -0.214 1.353
-4.711 1.822 7.705
Pm Tb Pb
2 2 1
direct
0.413 0.413 0.825
0.587 0.587 0.175
0.250 0.750 0.500
0.750 0.250 0.500
0.000 0.000 0.000
```

Calculated values
SG: I4/mmm (139)
Spin magnetization: 0.00 μB per cell
Total DFT energy (no corrections): -21.55 eV/cell

=====

[4]
DFT (PBE) results for crystalline KTl2B2 at its relaxed geometry.

Structure (POSCAR):
```
KTl2B2
1.0
-1.777 3.995 -1.790
-3.410 -2.474 -2.136
-5.308 1.243 1.811
B Tl K
2 2 1
direct
0.414 0.414 0.173
0.586 0.586 0.827
0.250 0.750 0.500
0.750 0.250 0.500
0.000 0.000 0.000
```

Calculated values
Energy above the lowest structure with this stoichiometry: 0 meV/atom
SG: I4/mmm (139)
Spin magnetization: 0.00 μB per cell